(1)
InCoTc2N | GGA-PBE | optimized geometry

extended XYZ file:
```
5
Lattice="4.1167 0.0000 0.0000 0.0000 4.1167 0.0000 0.0000 0.0000 3.8837" Properties=species:S:1:pos:R:3 pbc="T T T"
In 0.0000 0.0000 0.0000
Co 2.0583 2.0583 0.0000
Tc 0.0000 2.0583 1.9419
Tc 2.0583 0.0000 1.9419
N 2.0583 2.0583 1.9419
```

Calculated values
* electronic total energy: -7.73 eV/atom
* crystal system: tetragonal

=====

(2)
InCoTe2N | GGA-PBE | optimized geometry

extended XYZ file:
```
5
Lattice="5.7268 0.0000 0.0000 0.0000 5.7268 0.0000 0.0000 0.0000 3.8821" Properties=species:S:1:pos:R:3 pbc="T T T"
In 0.0000 0.0000 0.0000
Co 2.8634 2.8634 1.9411
Te 0.0000 2.8634 0.0000
Te 2.8634 0.0000 0.0000
N 0.0000 0.0000 1.9411
```

Calculated values
* electronic total energy: -3.52 eV/atom
* crystal system: tetragonal

=====

(3)
InCoTe2N | GGA-PBE | optimized geometry

extended XYZ file:
```
5
Lattice="5.5276 0.0000 0.0000 0.0000 5.5276 0.0000 0.0000 0.0000 3.4537" Properties=species:S:1:pos:R:3 pbc="T T T"
In 0.0000 0.0000 0.0000
Co 2.7638 2.7638 1.7269
Te 0.0000 2.7638 1.7269
Te 2.7638 0.0000 1.7269
N 2.7638 2.7638 0.0000
```

Calculated values
* electronic total energy: -4.68 eV/atom
* crystal system: tetragonal

=====

(4)
Y2InCoN | GGA-PBE | optimized geometry

extended XYZ file:
```
5
Lattice="4.9949 0.0000 0.0000 0.0000 4.9949 0.0000 0.0000 0.0000 3.7822" Properties=species:S:1:pos:R:3 pbc="T T T"
Y 0.0000 2.4974 0.0000
Y 2.4974 0.0000 0.0000
In 0.0000 0.0000 1.8911
Co 2.4974 2.4974 1.8911
N 2.4974 2.4974 0.0000
```

Calculated values
* electronic total energy: -6.89 eV/atom
* crystal system: tetragonal

=====

(5)
Na3InCo | GGA-PBE | optimized geometry

extended XYZ file:
```
5
Lattice="5.7702 0.0000 0.0000 0.0000 5.7702 0.0000 0.0000 0.0000 5.7702" Properties=species:S:1:pos:R:3 pbc="T T T"
Na 0.0000 0.0000 2.8851
Na 0.0000 2.8851 0.0000
Na 2.8851 0.0000 0.0000
In 0.0000 0.0000 0.0000
Co 2.8851 2.8851 2.8851
```

Calculated values
* energy of formation from the pure elements: 4.7 eV/f.u.
* electronic total energy: -1.81 eV/atom
* crystal system: cubic

=====

(6)
NaIn2Co2 | GGA-PBE | optimized geometry

extended XYZ file:
```
5
Lattice="-2.4015 2.4015 4.3115 2.4015 -2.4015 4.3115 2.4015 2.4015 -4.3115" Properties=species:S:1:pos:R:3 pbc="T T T"
Na 0.0000 0.0000 0.0000
In 2.4015 0.0000 2.1557
In 0.0000 2.4015 2.1557
Co 0.0000 0.0000 3.2398
Co 0.0000 0.0000 5.3832
```

Calculated values
* energy of formation from the pure elements: 1.5 eV/f.u.
* electronic total energy: -3.90 eV/atom
* crystal system: tetragonal

=====

(7)
NaInCo3 | GGA-PBE | optimized geometry

extended XYZ file:
```
5
Lattice="4.8623 0.0000 0.0000 0.0000 4.8623 0.0000 0.0000 0.0000 4.8623" Properties=species:S:1:pos:R:3 pbc="T T T"
Na 0.0000 0.0000 0.0000
In 2.4311 2.4311 2.4311
Co 0.0000 2.4311 2.4311
Co 2.4311 0.0000 2.4311
Co 2.4311 2.4311 0.0000
```

Calculated values
* energy of formation from the pure elements: 6.7 eV/f.u.
* electronic total energy: -3.73 eV/atom
* crystal system: cubic

=====

(8)
Na3InCo | GGA-PBE | optimized geometry

extended XYZ file:
```
5
Lattice="5.3253 0.0000 0.0000 0.0000 5.3253 0.0000 0.0000 0.0000 5.3253" Properties=species:S:1:pos:R:3 pbc="T T T"
Na 0.0000 0.0000 2.6627
Na 0.0000 2.6627 0.0000
Na 2.6627 0.0000 0.0000
In 2.6627 2.6627 2.6627
Co 0.0000 0.0000 0.0000
```

Calculated values
* energy of formation from the pure elements: 3.9 eV/f.u.
* electronic total energy: -1.98 eV/atom
* crystal system: cubic